[1]
DFT (meta-GGA SCAN) results for AgAsO2 at its PBEsol-relaxed geometry.

Computed properties:
Crystal system   monoclinic

Lattice parameters (Å, degrees): 5.135 5.135 6.697 108.05 108.05 51.37
Fractional positions:
Ag1 0.115 0.115 0.330
Ag2 0.885 0.885 0.670
As1 0.217 0.109 0.831
As2 0.891 0.783 0.169
O1 0.238 0.340 0.101
O2 0.279 0.276 0.676
O3 0.660 0.762 0.899
O4 0.724 0.721 0.324

=====

[2]
DFT (meta-GGA SCAN) results for AgAsO3 at its PBEsol-relaxed geometry.

Computed properties:
Crystal system   monoclinic

Lattice parameters (Å, degrees): 7.569 7.569 5.161 100.02 100.02 87.24
Fractional positions:
Ag1 0.101 0.899 0.750
Ag2 0.268 0.732 0.250
Ag3 0.732 0.268 0.750
Ag4 0.899 0.101 0.250
As1 0.201 0.378 0.746
As2 0.378 0.201 0.246
As3 0.622 0.799 0.754
As4 0.799 0.622 0.254
O1 0.049 0.214 0.670
O2 0.141 0.590 0.856
O3 0.214 0.049 0.170
O4 0.311 0.393 0.470
O5 0.393 0.311 0.970
O6 0.410 0.859 0.644
O7 0.590 0.141 0.356
O8 0.607 0.689 0.030
O9 0.689 0.607 0.530
O10 0.786 0.951 0.830
O11 0.859 0.410 0.144
O12 0.951 0.786 0.330

=====

Energy values, unit eV/atom, following the record order: -16.8991; -14.9836.
V values, unit Å³ per cell, following the record order: 130; 287.